# LiVF4 GGA+U relaxed
# Excess energy over the best structure of this formula in the dataset (eV per atom): 0.048
data_LiVF4
_chemical_formula_sum 'Li2 V2 F8'
_cell_length_a 5.0112
_cell_length_b 5.1923
_cell_length_c 5.2082
_cell_angle_alpha 103.16
_cell_angle_beta 90.04
_cell_angle_gamma 91.54
_symmetry_space_group_name_H-M 'P -1'
_symmetry_Int_Tables_number 2
_symmetry_space_group_name_Hall '-P 1'
loop_
_atom_site_label
_atom_site_fract_x
_atom_site_fract_y
_atom_site_fract_z
_atom_site_occupancy
Li1 0.0049 0.2104 0.2149 1
V1 0.4590 0.7063 0.2923 1
F1 0.2088 0.8863 0.1113 1
F2 0.2595 0.4670 0.5123 1
F3 0.2928 0.3869 0.0209 1
F4 0.2958 0.9664 0.6119 1